(1)
# KBaNaSr

A geometry-optimized KBaNaSr structure (PBE, Alexandria via LeMat-Bulk).

The structure in extended XYZ format:
```
4
Lattice="6.8311 0.0000 0.0000 3.4155 5.9159 0.0000 3.4155 1.9720 5.5775" Properties=species:S:1:pos:R:3 pbc="T T T"
Sr 10.2466 5.9159 4.1832
K 6.8311 3.9439 2.7888
Ba 3.4155 1.9720 1.3944
Na 0.0000 0.0000 0.0000
```

- Energy of formation: 104 meV/atom

=====

(2)
# CeNpIn2O8

A geometry-optimized CeNpIn2O8 structure (PBE, Alexandria via LeMat-Bulk).

The structure in extended XYZ format:
```
12
Lattice="4.9782 -0.0452 -0.0029 -0.0120 4.9781 -0.0055 0.0042 0.0077 6.9684" Properties=species:S:1:pos:R:3 pbc="T T T"
Ce 0.0021 0.0038 3.4842
Np 0.0000 0.0000 0.0000
In 2.4862 2.4722 5.2288
In 2.4842 2.4684 1.7312
O 0.9239 4.0374 1.5850
O 3.4815 3.4592 -0.0059
O 4.0440 0.8988 1.5866
O 4.0464 0.9032 5.3750
O 1.4889 1.4813 6.9659
O 0.9264 4.0417 5.3734
O 3.4356 3.4154 3.4784
O 1.5348 1.5252 3.4816
```

- Energy relative to the elements, uncorrected: -2.39 eV/atom

=====

(3)
# CaIn2P

A geometry-optimized CaIn2P structure (PBE, Alexandria via LeMat-Bulk).

The structure in extended XYZ format:
```
4
Lattice="3.8707 0.0000 0.0000 0.0000 4.3449 -0.0029 0.0000 2.1804 6.0302" Properties=species:S:1:pos:R:3 pbc="T T T"
Ca 1.9353 4.6212 4.0077
In 0.0000 0.2748 0.1732
In 1.9353 2.4448 1.3847
P 0.0000 2.4472 3.4755
```

- Energy of formation: -447 meV/atom